# 1
A plane-wave DFT calculation with PBE was carried out for a relaxed structure of Y2Ho2Er5.

abc: 11.6235 6.6716 9.9846
angles: 109.52 125.60 90.00
Positions (direct):
Er 0.7940 0.7636 0.1055
Er 0.4044 0.5333 0.2853
Er 0.9920 0.6517 0.5000
Ho 0.7354 0.8607 0.5000
Ho 0.2646 0.3607 0.5000
Y 0.3659 0.9307 0.7461
Er 0.5956 0.2480 0.7147
Er 0.2060 0.6581 0.8945
Ho 0.5000 0.5054 0.0000
Er 0.3809 0.0333 0.2853
Y 0.6341 0.1846 0.2539
Er 0.0080 0.1517 0.5000
Er 0.8115 0.2636 0.1055
Er 0.6191 0.7480 0.7147
Y 0.1199 0.6846 0.2539
Y 0.8801 0.4307 0.7461
Er 0.1885 0.1581 0.8945
Ho 0.0000 0.0054 0.0000

Calculated values
E_tot ... -85.79 eV per cell
Crystal system ... orthorhombic

***

# 2
A plane-wave DFT calculation with PBE was carried out for a relaxed structure of ScInW2.

abc: 4.4137 2.9167 6.0472
angles: 73.28 90.00 90.00
Positions (direct):
In 0.0000 0.4692 0.4951
W 0.5000 0.1988 0.2238
W 0.0000 0.0548 0.0163
Sc 0.5000 0.7773 0.7648

Calculated values
E_tot ... -34.12 eV per cell
Crystal system ... monoclinic

***

# 3
A plane-wave DFT calculation with PBE was carried out for a relaxed structure of BeMoCl2.

abc: 2.9419 3.6176 5.8117
angles: 90.00 90.00 90.00
Positions (direct):
Cl 0.0000 0.0000 0.0086
Be 0.5000 0.5000 0.7500
Mo 0.5000 0.5000 0.2500
Cl 0.0000 0.0000 0.4914

Calculated values
Uncorrected formation energy ... 799 meV per atom
Crystal system ... orthorhombic

***

# 4
A plane-wave DFT calculation with PBE was carried out for a relaxed structure of PmHgH.

abc: 3.9003 3.9003 7.6278
angles: 90.00 90.00 90.01
Positions (direct):
Hg 0.9805 0.9929 0.4863
Hg 0.4805 0.4929 0.2714
Pm 0.9805 0.9929 0.0490
H 0.9806 0.4928 0.8788
Pm 0.4805 0.4929 0.7087
H 0.4805 0.9929 0.8788

Calculated values
E_tot ... -19.97 eV per cell
Crystal system ... tetragonal

***

# 5
A plane-wave DFT calculation with PBE was carried out for a relaxed structure of LiAgRh2.

abc: 4.6843 4.6843 4.8894
angles: 81.46 81.46 34.24
Positions (direct):
Rh 0.7473 0.7473 0.8016
Ag 0.4976 0.4976 0.4649
Li 0.2506 0.2506 0.2728
Rh 0.0046 0.0046 0.9607

Calculated values
E_tot ... -19.45 eV per cell
Crystal system ... monoclinic

***

# 6
A plane-wave DFT calculation with PBE was carried out for a relaxed structure of RbPmHg2Br8.

abc: 6.9224 8.1408 10.0929
angles: 67.13 86.90 95.73
Positions (direct):
Hg 0.4375 0.2590 0.7012
Hg 0.5625 0.7410 0.2988
Br 0.6945 0.6902 0.0738
Br 0.7661 0.1248 0.1738
Br 0.8336 0.2018 0.7365
Br 0.4332 0.2967 0.4386
Br 0.2339 0.8752 0.8262
Pm 0.0000 0.0000 0.0000
Br 0.5668 0.7033 0.5614
Br 0.3055 0.3098 0.9262
Rb 0.0000 0.0000 0.5000
Br 0.1664 0.7982 0.2635

Calculated values
Uncorrected formation energy ... -1129 meV per atom
Crystal system ... triclinic

***

no.,mass density (g/cm3),calculated volume (Å³/f.u.)
1,7.776,287.00
2,11.747,74.56
3,4.721,61.85
4,9.920,58.02
5,8.928,59.63
6,4.068,518.75